# GGA-PBEsol Mn2IrOs, relaxed
data_Mn2IrOs
_symmetry_space_group_name_H-M 'P 4 m m'
_symmetry_Int_Tables_number 99
_cell_length_a 2.630
_cell_length_b 2.630
_cell_length_c 7.202
_cell_angle_alpha 90.00
_cell_angle_beta 90.00
_cell_angle_gamma 90.00
loop_
_symmetry_equiv_pos_as_xyz
'x,y,z'
'-y,x,z'
'-x,-y,z'
'y,-x,z'
'-x,y,z'
'y,x,z'
'x,-y,z'
'-y,-x,z'
loop_
_atom_site_label
_atom_site_type_symbol
_atom_site_fract_x
_atom_site_fract_y
_atom_site_fract_z
Mn1 Mn 0.000 0.000 0.000
Mn2 Mn 0.500 0.500 0.231
Ir1 Ir 0.500 0.500 0.751
Os1 Os 0.000 0.000 0.472
# final energy = -10.336 eV per atom
# magnetization = 0.12 μB/atom
# ΔH_f (0 K) = 54 meV per atom

# GGA-PBEsol Zr3TeRh, relaxed
data_Zr3TeRh
_symmetry_space_group_name_H-M 'P m -3 m'
_symmetry_Int_Tables_number 221
_symmetry_space_group_name_Hall '-P 4 2 3'
_cell_length_a 5.106
_cell_length_b 5.106
_cell_length_c 5.106
_cell_angle_alpha 90.00
_cell_angle_beta 90.00
_cell_angle_gamma 90.00
loop_
_atom_site_label
_atom_site_type_symbol
_atom_site_fract_x
_atom_site_fract_y
_atom_site_fract_z
Zr1 Zr 0.000 0.000 0.500
Te1 Te 0.000 0.000 0.000
Rh1 Rh 0.500 0.500 0.500
# final energy = -6.837 eV per atom
# magnetization = 0.00 μB/atom
# formation energy from raw total energies = 0.9502 eV per atom

# GGA-PBEsol AlCu2B, relaxed
data_AlCu2B
_symmetry_space_group_name_H-M 'F m -3 m'
_symmetry_Int_Tables_number 225
_symmetry_space_group_name_Hall '-F 4 2 3'
_cell_length_a 5.533
_cell_length_b 5.533
_cell_length_c 5.533
_cell_angle_alpha 90.00
_cell_angle_beta 90.00
_cell_angle_gamma 90.00
loop_
_atom_site_label
_atom_site_type_symbol
_atom_site_fract_x
_atom_site_fract_y
_atom_site_fract_z
Al1 Al 0.000 0.000 0.000
Cu1 Cu 0.250 0.250 0.250
B1 B 0.000 0.000 0.500
# final energy = -4.541 eV per atom
# magnetization = 0.00 μB/atom
# ΔH_f (0 K) = 403 meV per atom